Density functional theory data (meta-GGA SCAN) for a crystal of Cu3BO5 relaxed with PBEsol.

Calculated values
ΔE_f (raw) ... -1262 meV/atom
N(E_F) ... 0.341 states/eV per atom
ρ ... 5.30 g cm⁻³

abc: 3.201 9.320 11.853
angles: 90.00 93.58 90.00
Fractional positions:
Cu1 0.000 0.000 0.000
Cu2 0.000 0.500 0.500
Cu3 0.075 0.016 0.275
Cu4 0.075 0.484 0.775
Cu5 0.408 0.734 0.623
Cu6 0.408 0.766 0.123
Cu7 0.500 0.000 0.500
Cu8 0.500 0.500 0.000
Cu9 0.592 0.234 0.877
Cu10 0.592 0.266 0.377
Cu11 0.925 0.516 0.225
Cu12 0.925 0.984 0.725
B1 0.360 0.736 0.369
B2 0.360 0.764 0.869
B3 0.640 0.236 0.131
B4 0.640 0.264 0.631
O1 0.007 0.588 0.644
O2 0.007 0.912 0.144
O3 0.186 0.126 0.410
O4 0.186 0.374 0.910
O5 0.314 0.667 0.266
O6 0.314 0.833 0.766
O7 0.351 0.659 0.468
O8 0.351 0.841 0.968
O9 0.439 0.618 0.869
O10 0.439 0.882 0.369
O11 0.561 0.118 0.631
O12 0.561 0.382 0.131
O13 0.649 0.159 0.032
O14 0.649 0.341 0.532
O15 0.686 0.167 0.234
O16 0.686 0.333 0.734
O17 0.814 0.626 0.090
O18 0.814 0.874 0.590
O19 0.993 0.088 0.856
O20 0.993 0.412 0.356